Material: SrCoSeO
Method: DFT, PBE with a Hubbard U
State: relaxed

Geometry as POSCAR:
```
SrCoSeO
1.0
6.770 -2.024 0.000
6.770 2.024 0.000
0.000 0.000 6.134
Sr O Co Se
2 2 2 2
Cartesian
4.702 0.000 6.014
8.839 0.000 2.947
12.753 0.000 0.328
0.788 0.000 3.395
12.733 0.000 2.321
0.808 0.000 5.389
8.939 0.000 6.013
4.601 0.000 2.946
```

Computed properties:
total magnetic moment: 3.00 μB/f.u.
symmetry: Cmc2_1 (36)
calculated total energy: -5.3466 eV/atom